Compound: Y2BeGe
Source: Alexandria via LeMat-Bulk
Functional: GGA-PBE
Structure: relaxed

```
Y2BeGe
1.0
0.000 3.485 3.485
3.485 0.000 3.485
3.485 3.485 0.000
Y Be Ge
2 1 1
Direct
0.250 0.250 0.250
0.750 0.750 0.750
0.000 0.000 0.000
0.500 0.500 0.500
```

The total energy is -5.625 eV/atom. For the energy above the most stable polymorph in this dataset, the calculation gives 0 meV per atom. For the formation energy, the calculation gives -307 meV per atom. Its calculated density is 5088 kg/m3. As for the space group: No. 225.

=====

Compound: YBe3Ge
Source: Alexandria via LeMat-Bulk
Functional: GGA-PBE
Structure: relaxed

```
YBe3Ge
1.0
4.959 0.000 0.000
0.000 4.959 0.000
0.000 0.000 4.959
Y Be Ge
1 3 1
Direct
0.000 0.000 0.000
0.000 0.000 0.500
0.000 0.500 0.000
0.500 0.000 0.000
0.500 0.500 0.500
```

The total energy is -2.491 eV/atom. For the energy above the most stable polymorph in this dataset, the calculation gives 1446 meV per atom. For the formation energy, the calculation gives 1961 meV per atom. Its calculated density is 2568 kg/m3. As for the space group: No. 221.

=====

Compound: BeZn2Ge2
Source: Alexandria via LeMat-Bulk
Functional: GGA-PBE
Structure: relaxed

```
BeZn2Ge2
1.0
6.211 0.000 0.000
0.000 6.211 0.000
0.000 0.000 4.345
Be Zn Ge
2 4 4
Direct
0.000 0.000 0.000
0.500 0.500 0.000
0.166 0.334 0.500
0.334 0.834 0.500
0.666 0.166 0.500
0.834 0.666 0.500
0.151 0.651 0.000
0.349 0.151 0.000
0.651 0.849 0.000
0.849 0.349 0.000
```

The total energy is -2.775 eV/atom. For the energy above the most stable polymorph in this dataset, the calculation gives 0 meV per atom. For the formation energy, the calculation gives 326 meV per atom. Its calculated density is 5649 kg/m3. As for the space group: No. 127.

=====

Compound: BeZn2Ge
Source: Alexandria via LeMat-Bulk
Functional: GGA-PBE
Structure: relaxed

```
BeZn2Ge
1.0
-1.947 1.947 8.226
1.947 -1.947 8.226
1.947 1.947 -8.226
Be Zn Ge
2 4 2
Direct
0.000 0.000 0.000
0.750 0.250 0.500
0.089 0.625 0.964
0.375 0.339 0.464
0.661 0.125 0.036
0.875 0.911 0.536
0.250 0.750 0.500
0.500 0.500 0.000
```

The total energy is -2.432 eV/atom. For the formation energy, the calculation gives 291 meV per atom. Its calculated density is 5658 kg/m3. As for the space group: No. 122.

=====

Compound: BeZnGe2
Source: Alexandria via LeMat-Bulk
Functional: GGA-PBE
Structure: relaxed

```
BeZnGe2
1.0
0.000 3.165 3.165
3.165 0.000 3.165
3.165 3.165 0.000
Be Zn Ge
1 1 2
Direct
0.000 0.000 0.000
0.500 0.500 0.500
0.250 0.250 0.250
0.750 0.750 0.750
```

The total energy is -3.106 eV/atom. For the energy above the most stable polymorph in this dataset, the calculation gives 223 meV per atom. For the formation energy, the calculation gives 453 meV per atom. Its calculated density is 5755 kg/m3. As for the space group: No. 225.

=====

Compound: BeZnGe2
Source: Alexandria via LeMat-Bulk
Functional: GGA-PBE
Structure: relaxed

```
BeZnGe2
1.0
-2.143 2.143 7.466
2.143 -2.143 7.466
2.143 2.143 -7.466
Be Zn Ge
2 2 4
Direct
0.000 0.000 0.000
0.750 0.250 0.500
0.250 0.750 0.500
0.500 0.500 0.000
0.073 0.625 0.948
0.375 0.323 0.448
0.677 0.125 0.052
0.875 0.927 0.552
```

The total energy is -3.328 eV/atom. For the energy above the most stable polymorph in this dataset, the calculation gives 0 meV per atom. For the formation energy, the calculation gives 230 meV per atom. Its calculated density is 5318 kg/m3. As for the space group: No. 122.

=====

Compound: BeZn2Ge2
Source: Alexandria via LeMat-Bulk
Functional: GGA-PBE
Structure: relaxed

```
BeZn2Ge2
1.0
6.433 0.000 0.000
0.000 6.433 0.000
0.000 0.000 3.968
Be Zn Ge
2 4 4
Direct
0.000 0.000 0.000
0.500 0.500 0.000
0.146 0.354 0.000
0.354 0.854 0.000
0.646 0.146 0.000
0.854 0.646 0.000
0.165 0.665 0.500
0.335 0.165 0.500
0.665 0.835 0.500
0.835 0.335 0.500
```

The total energy is -2.702 eV/atom. For the energy above the most stable polymorph in this dataset, the calculation gives 74 meV per atom. For the formation energy, the calculation gives 400 meV per atom. Its calculated density is 5767 kg/m3. As for the space group: No. 127.

=====

Compound: BeZnGe3
Source: Alexandria via LeMat-Bulk
Functional: GGA-PBE
Structure: relaxed

```
BeZnGe3
1.0
4.805 0.000 0.000
0.000 4.805 0.000
0.000 0.000 4.805
Be Zn Ge
1 1 3
Direct
0.000 0.000 0.000
0.500 0.500 0.500
0.000 0.500 0.500
0.500 0.000 0.500
0.500 0.500 0.000
```

The total energy is -2.747 eV/atom. For the energy above the most stable polymorph in this dataset, the calculation gives 527 meV per atom. For the formation energy, the calculation gives 1023 meV per atom. Its calculated density is 4376 kg/m3. As for the space group: No. 221.